Record 1
CaLa6Tb2Sm | Alexandria | PBE | relaxed; crystal system = monoclinic; M_tot = 0.0 μB per formula unit; DFT formation energy = 0.121 eV/atom; ρ = 6.1 Mg/m³
1.0
-5.3443 -6.8197 5.0340
2.2601 -5.7355 -6.7634
6.0029 1.3276 6.7787
Ca La Tb Sm
2 12 4 2
Cartesian
3.1588 -3.2230 2.5810 Ca
-0.2402 -8.0045 2.4682 Ca
4.5577 0.0373 4.7158 La
3.4906 -3.2173 6.7082 La
-1.6390 -11.2648 0.3334 La
-0.5720 -8.0103 -1.6589 La
3.1167 -7.2117 -2.0085 La
0.4620 -4.4032 -2.7396 La
-0.1980 -4.0159 7.0577 La
2.4567 -6.8244 7.7889 La
3.9012 -4.2527 -0.8347 La
0.8802 -5.0925 0.4382 La
-0.9825 -6.9748 5.8840 La
2.0385 -6.1350 4.6110 La
3.6257 -6.7635 1.6705 Tb
1.6146 -1.7157 -0.4065 Tb
-0.7070 -4.4640 3.3788 Tb
1.3041 -9.5119 5.4558 Tb
1.0318 -7.2371 -5.1151 Sm
1.8869 -3.9904 10.1644 Sm

Record 2
CaLaTbSm | Alexandria | PBE | relaxed; crystal system = tetragonal; M_tot = 0.0 μB per formula unit; DFT formation energy = 0.051 eV/atom; ρ = 5.6 Mg/m³
1.0
3.6767 0.0000 0.0000
0.0000 3.6767 0.0000
0.0000 0.0000 10.6310
Ca La Tb Sm
1 1 1 1
Cartesian
0.0000 0.0000 0.8242 Ca
1.8384 1.8384 8.5505 La
0.0000 0.0000 6.0069 Tb
1.8384 1.8384 3.5916 Sm

Record 3
CaLa2Tb3Sm6 | Alexandria | PBE | relaxed; crystal system = monoclinic; M_tot = 0.0 μB per formula unit; DFT formation energy = 0.038 eV/atom; ρ = 6.8 Mg/m³
1.0
-5.8341 -1.3909 2.0051
4.7506 -4.0436 1.0360
2.6540 7.1697 9.3619
Ca La Tb Sm
1 2 3 6
Cartesian
0.0000 0.0000 0.0000 Ca
1.2253 -3.1601 1.3588 La
-2.3088 -2.2744 1.6824 La
4.3243 -0.0193 5.8775 Tb
-2.7538 1.7546 6.5256 Tb
0.7852 0.8676 6.2015 Tb
-0.6189 1.7224 9.3841 Sm
-0.1282 -2.2260 4.6930 Sm
2.1894 0.0129 3.0190 Sm
2.9468 0.8288 9.0576 Sm
1.6986 3.9613 7.7100 Sm
-1.3763 0.9065 3.3454 Sm

Record 4
Ca2La3SmTe6 | Alexandria | PBE | relaxed; crystal system = monoclinic; M_tot = 0.0 μB per formula unit; ρ = 5.9 Mg/m³
1.0
7.8283 -0.0031 -0.0007
-3.9149 6.7791 -0.0007
-1.3062 -2.2617 7.4461
Ca La Sm Te
2 3 1 6
Cartesian
0.0003 4.5179 -0.0007 Ca
3.9132 2.2581 -0.0007 Ca
-2.5976 4.5102 3.7223 La
5.2048 0.0041 3.7223 La
1.3036 2.2572 3.7223 La
0.0000 0.0000 0.0000 Sm
3.9169 2.2465 5.6676 Te
2.6041 4.5090 1.7951 Te
-1.3097 2.2678 1.7770 Te
-0.0116 4.5154 5.6676 Te
0.0031 0.0053 5.6495 Te
2.6188 -0.0011 1.7770 Te

Record 5
Ca3La2SmTe6 | Alexandria | PBE | relaxed; crystal system = monoclinic; M_tot = 0.0 μB per formula unit; ρ = 5.6 Mg/m³
1.0
4.4883 0.0000 0.0000
0.0000 9.1026 0.2219
-2.2441 -2.7308 9.5270
Ca La Sm Te
3 2 1 6
Cartesian
2.2441 4.5513 0.1109 Ca
2.2441 -0.2948 6.3675 Ca
0.0000 6.6667 3.3814 Ca
2.2441 4.2725 6.5299 La
0.0000 2.0993 3.2190 La
2.2441 0.0000 0.0000 Sm
0.0000 6.6014 6.5681 Te
2.2441 4.4491 3.2707 Te
2.2441 -0.2296 3.1809 Te
2.2441 -0.4527 9.5213 Te
0.0000 6.8245 0.2276 Te
0.0000 1.9227 6.4782 Te

Record 6
Ca3LaSm3Te8 | Alexandria | PBE | relaxed; crystal system = trigonal; M_tot = 0.0 μB per formula unit; ρ = 5.7 Mg/m³
1.0
-4.9222 6.1080 -4.2288
-3.9676 -6.4015 4.7622
4.5025 6.5461 4.2143
Ca La Sm Te
3 1 3 8
Cartesian
0.0000 0.0000 0.0000 Ca
-1.9838 -3.2008 2.3811 Ca
-4.4449 -0.1467 0.2667 Ca
2.2513 3.2730 2.1071 La
-0.2098 6.3271 -0.0073 Sm
-2.1936 3.1263 2.3738 Sm
0.2675 0.0723 4.4882 Sm
-2.0888 -0.0389 2.3752 Te
-2.2985 6.2915 2.3725 Te
-4.4897 3.0305 0.2129 Te
0.1025 3.2221 4.5347 Te
-2.5622 6.1420 -2.1009 Te
-1.8251 0.1106 6.8486 Te
-0.1696 3.1730 -0.0454 Te
-4.2177 3.0796 4.7931 Te

Record 7
CaLa4Sm3Te8 | Alexandria | PBE | relaxed; crystal system = trigonal; M_tot = 0.0 μB per formula unit; ρ = 6.6 Mg/m³
1.0
-2.3303 1.2612 8.6429
-7.9591 -3.9905 -1.5636
7.6881 -4.3013 -2.0271
Ca La Sm Te
1 4 3 8
Cartesian
-3.9795 -1.9953 -0.7818 Ca
-1.1652 0.6306 4.3215 La
2.6789 -1.5200 3.3079 La
0.0000 0.0000 0.0000 La
3.8441 -2.1506 -1.0135 La
-5.1447 -1.3647 3.5396 Sm
-1.3006 -3.5153 2.5261 Sm
-0.1355 -4.1459 -1.7954 Sm
1.1813 -6.9162 -1.0467 Te
-2.6802 -4.7563 -0.0286 Te
1.2395 -2.8905 0.7560 Te
0.0109 -6.2828 3.2943 Te
-2.6122 -0.7478 1.7579 Te
-3.8408 -4.1400 4.2962 Te
0.0789 -2.2742 5.0808 Te
-3.7826 -0.1143 6.0989 Te

Record 8
CaLa2Sm3Te6 | Alexandria | PBE | relaxed; crystal system = monoclinic; M_tot = 0.0 μB per formula unit; ρ = 6.6 Mg/m³
1.0
4.4786 0.0000 0.0000
0.0000 9.0382 0.3314
-2.2393 -2.5954 9.4595
Ca La Sm Te
1 2 3 6
Cartesian
2.2393 0.0000 0.0000 Ca
2.2393 4.2735 6.4779 La
0.0000 2.1692 3.3130 La
2.2393 4.5191 0.1657 Sm
2.2393 -0.1775 6.3079 Sm
0.0000 6.6203 3.4829 Sm
0.0000 6.6215 6.6544 Te
2.2393 4.4599 3.2784 Te
2.2393 -0.1787 3.1364 Te
2.2393 -0.3483 9.5018 Te
0.0000 6.7911 0.2891 Te
0.0000 1.9829 6.5124 Te

Record 9
Ca3LaSm2Te6 | Alexandria | PBE | relaxed; crystal system = monoclinic; M_tot = 0.0 μB per formula unit; ρ = 5.7 Mg/m³
1.0
-6.1537 4.6239 0.6421
0.0554 -6.8606 3.5483
5.0380 3.9018 4.6555
Ca La Sm Te
3 1 2 6
Cartesian
1.5521 -3.0189 5.3976 Ca
-2.6125 4.6841 3.4483 Ca
-0.5302 0.8326 4.4229 Ca
0.0000 0.0000 0.0000 La
-2.0145 -3.0320 2.5794 Sm
-4.0838 0.7953 1.6109 Sm
-1.8442 3.1865 6.1036 Te
-3.2715 -0.6793 4.3050 Te
0.7839 -1.5213 2.7423 Te
0.2597 -0.7050 7.0883 Te
2.2111 2.3445 4.5408 Te
-1.3200 2.3702 1.7576 Te

Record 10
CaLa3Sm2Te6 | Alexandria | PBE | relaxed; crystal system = monoclinic; M_tot = 0.0 μB per formula unit; ρ = 6.4 Mg/m³
1.0
4.5084 0.0000 0.0000
0.0000 9.0698 0.3275
-2.2542 -2.6110 9.5014
Ca La Sm Te
1 3 2 6
Cartesian
2.2542 0.0000 0.0000 Ca
2.2542 4.5349 0.1637 La
2.2542 -0.1982 6.3679 La
0.0000 6.6570 3.4610 La
2.2542 4.2650 6.4835 Sm
0.0000 2.1938 3.3453 Sm
0.0000 6.5139 6.6957 Te
2.2542 4.3735 3.3604 Te
2.2542 -0.0551 3.1332 Te
0.0000 2.1934 0.1362 Te
2.2542 4.2654 9.6927 Te
0.0000 2.0853 6.4685 Te

Record 11
CaLaSmTm | Alexandria | PBE | relaxed; crystal system = cubic; M_tot = 0.0 μB per formula unit; DFT formation energy = 0.114 eV/atom; ρ = 5.9 Mg/m³
1.0
-4.4454 -2.3270 -2.9951
-1.2806 -5.6693 0.6049
-4.8754 -1.6127 2.7887
Ca Tm Sm La
1 1 1 1
Cartesian
-5.3007 -4.8045 0.1992 Ca
0.0000 0.0000 0.0000 Tm
-7.9510 -7.2067 0.2989 Sm
-2.6503 -2.4022 0.0996 La

Record 12
CaLa3Sm2Y6 | Alexandria | PBE | relaxed; crystal system = monoclinic; M_tot = 0.0 μB per formula unit; DFT formation energy = 0.044 eV/atom; ρ = 5.2 Mg/m³
1.0
-1.8959 2.1432 5.6476
-2.9975 -4.8763 -2.7056
9.0368 -6.6054 4.3590
Ca La Sm Y
1 3 2 6
Cartesian
0.0000 0.0000 0.0000 Ca
1.7037 -7.0144 0.8597 La
2.4398 -2.3240 6.4413 La
2.0717 -4.6692 3.6505 La
-2.6300 -2.5345 0.0811 Sm
-2.2634 -0.1985 2.8609 Sm
3.3079 -5.8127 6.8832 Y
-1.3904 -3.6868 3.2815 Y
0.8356 -3.5257 0.4178 Y
2.9353 -8.1870 4.0578 Y
5.5339 -5.6517 4.0195 Y
1.2082 -1.1515 3.2431 Y

Record 13
CaLaSmY | Alexandria | PBE | relaxed; crystal system = cubic; M_tot = 0.0 μB per formula unit; DFT formation energy = 0.117 eV/atom; ρ = 4.8 Mg/m³
1.0
5.8838 0.0000 0.0000
2.9419 5.0955 0.0000
2.9419 1.6985 4.8041
Y Ca Sm La
1 1 1 1
Cartesian
2.9419 1.6985 1.2010 Y
8.8257 5.0955 3.6031 Ca
5.8838 3.3970 2.4021 Sm
0.0000 0.0000 0.0000 La

Record 14
CaLa2SmY2 | Alexandria | PBE | relaxed; crystal system = orthorhombic; M_tot = 0.0 μB per formula unit; DFT formation energy = 0.257 eV/atom; ρ = 4.9 Mg/m³
1.0
3.4611 0.0000 0.0000
0.0000 6.6938 0.0000
0.0000 0.0000 18.8558
Ca La Sm Y
2 4 2 4
Cartesian
0.0000 0.0000 0.0000 Ca
1.7306 3.3469 9.4279 Ca
1.7306 2.0164 5.8107 La
0.0000 5.3633 3.6172 La
1.7306 4.6774 13.0451 La
0.0000 1.3305 15.2386 La
1.7306 3.3469 0.0000 Sm
0.0000 0.0000 9.4279 Sm
1.7306 5.4006 6.6993 Y
1.7306 1.2932 12.1565 Y
0.0000 4.6401 16.1272 Y
0.0000 2.0537 2.7286 Y

Record 15
CaLaSmY | Alexandria | PBE | relaxed; crystal system = tetragonal; M_tot = 0.0 μB per formula unit; DFT formation energy = 0.056 eV/atom; ρ = 4.8 Mg/m³
1.0
3.6975 0.0000 0.0044
-0.0001 3.6975 -0.0044
-0.0137 0.0137 10.5923
Ca La Sm Y
1 1 1 1
Cartesian
0.5306 3.1669 7.7365 Ca
2.3830 1.3145 4.8109 La
0.5380 3.1595 2.2806 Sm
2.3760 1.3215 10.4710 Y

Record 16
CaLaSmZn | Alexandria | PBE | relaxed; crystal system = cubic; M_tot = 0.0 μB per formula unit; DFT formation energy = 0.033 eV/atom; ρ = 5.4 Mg/m³
1.0
5.5463 0.0000 0.0000
2.7731 4.8032 0.0000
2.7731 1.6011 4.5285
Zn Ca Sm La
1 1 1 1
Cartesian
0.0000 0.0000 0.0000 Zn
5.5463 3.2021 2.2642 Ca
2.7731 1.6011 1.1321 Sm
8.3194 4.8032 3.3964 La

Record 17
CaLaSmZn | Alexandria | PBE | relaxed; crystal system = tetragonal; M_tot = 0.0 μB per formula unit; DFT formation energy = -0.121 eV/atom; ρ = 5.2 Mg/m³
1.0
-2.1305 0.2450 -2.9445
2.0258 -2.5214 -1.6756
-5.5600 -6.7662 3.4598
Ca La Sm Zn
1 1 1 1
Cartesian
-4.2941 -6.3003 0.3296 Ca
-0.5058 -0.6155 0.3147 La
-2.1167 -3.6504 -1.0254 Sm
-3.1109 -3.7859 1.9359 Zn

Record 18
Ca3LaSn2 | Alexandria | PBE | relaxed; crystal system = orthorhombic; M_tot = 0.0 μB per formula unit; DFT formation energy = -0.627 eV/atom; ρ = 4.3 Mg/m³
1.0
5.2469 0.0000 0.0000
0.0000 7.4616 0.0000
0.0000 0.0000 9.7501
Ca La Sn
6 2 4
Cartesian
0.0000 3.5683 9.2268 Ca
0.0000 7.2991 0.5233 Ca
2.6235 5.0774 1.6717 Ca
2.6235 1.3466 8.0783 Ca
0.0000 2.4069 3.0901 Ca
0.0000 6.1377 6.6599 Ca
2.6235 3.9011 5.2502 La
2.6235 0.1703 4.4999 La
2.6235 5.4906 8.2707 Sn
2.6235 1.7598 1.4794 Sn
0.0000 1.9403 6.2916 Sn
0.0000 5.6711 3.4584 Sn

Record 19
CaLa3Sn3 | Alexandria | PBE | relaxed; crystal system = monoclinic; M_tot = 0.0 μB per formula unit; DFT formation energy = -0.501 eV/atom; ρ = 5.4 Mg/m³
1.0
8.1355 0.3478 0.4995
-3.3131 7.4385 0.4995
-0.2270 -0.3665 8.0486
Ca La Sn
2 6 6
Cartesian
3.2461 5.2411 7.9722 Ca
1.3493 2.1786 1.0755 Ca
2.9421 4.7503 3.5478 La
-1.7032 6.1879 4.5238 La
6.2986 1.2319 4.5238 La
-0.7565 5.8551 0.4995 La
5.5790 1.9312 0.4995 La
1.6533 2.6694 5.4998 La
4.4918 7.2523 2.3929 Sn
5.0477 3.7132 6.0931 Sn
1.0756 6.1733 6.0931 Sn
-0.4522 3.7066 2.9545 Sn
3.5199 1.2464 2.9545 Sn
0.1037 0.1674 6.6547 Sn

Record 20
Ca2LaSn | Alexandria | PBE | relaxed; crystal system = tetragonal; M_tot = 0.0 μB per formula unit; DFT formation energy = -0.415 eV/atom; ρ = 4.3 Mg/m³
1.0
-1.8787 -4.8128 -0.9284
4.1343 -1.1264 -2.5270
2.1177 -1.6356 4.1937
Ca Sn La
2 1 1
Cartesian
1.0588 -0.8178 2.0968 Ca
2.0671 -0.5632 -1.2635 Ca
2.1866 -3.7874 0.3692 Sn
-0.9394 -2.4064 -0.4642 La

Record 21
CaLa2Sn | Alexandria | PBE | relaxed; crystal system = tetragonal; M_tot = 0.0 μB per formula unit; DFT formation energy = -0.396 eV/atom; ρ = 5.4 Mg/m³
1.0
-3.6579 -2.1687 -0.8917
-0.7560 -0.4733 4.2524
-3.6573 6.1545 0.0349
Ca Sn La
1 1 2
Cartesian
-4.0356 1.7562 1.6978 Ca
-2.2069 -1.3210 1.6804 Sn
-2.8679 4.8260 0.0273 La
-0.7895 1.3285 0.0075 La

In order of appearance, E = -0.3259 -0.2954 -0.3283 -0.3735 -0.3559 -0.3581 -0.3914 -0.3847 -0.3524 -0.3883 -0.2878 -0.3950 -0.3242 -0.3425 -0.3287 -0.2350 -0.2464 -0.2781 -0.3391 -0.2682 -0.3205 Ry/atom.